Entry 1:
# Ce2YGa2

Ce2YGa2 after structural relaxation (PBE-GGA, the Alexandria database).

abc: 4.2973 6.1766 10.1656
angles: 110.92 90.00 90.00
Last column: magnetic moment on the atom in μB.
Atoms (fractional coordinates):
Ga  0.2500  0.3477  0.9826  0.01
Ga  0.7500  0.0673  0.4356  0.00
Ga  0.2500  0.9327  0.5644  0.00
Ga  0.7500  0.6523  0.0174  0.01
Ce  0.2500  0.4318  0.5603  0.32
Ce  0.2500  0.7765  0.8344  0.77
Ce  0.7500  0.2235  0.1656  0.77
Ce  0.7500  0.5682  0.4397  0.32
Y  0.7500  0.2120  0.7620  0.06
Y  0.2500  0.7880  0.2380  0.06

Results
The total magnetization is 2.982 μB per cell. Its crystal system is monoclinic. The symmetry is P2_1/m, No. 11. The total DFT energy (no corrections) comes out at -52.41 eV for the cell shown. The density of states at the Fermi level comes out at 18.90 states/eV per cell.


Entry 2:
# Ce2YGa

Ce2YGa after structural relaxation (PBE-GGA, the Alexandria database).

abc: 5.1033 4.4468 4.4468
angles: 90.00 90.00 90.00
Last column: magnetic moment on the atom in μB.
Atoms (fractional coordinates):
Ce  0.0000  0.5000  0.0000  0.53
Ce  0.0000  0.0000  0.5000  0.53
Y  0.5000  0.0000  0.0000  0.05
Ga  0.5000  0.5000  0.5000  -0.02

Results
The total magnetization is 1.356 μB per cell. Its crystal system is tetragonal. The symmetry is P4/mmm, No. 123. The total DFT energy (no corrections) comes out at -22.31 eV for the cell shown. The density of states at the Fermi level comes out at 8.49 states/eV per cell.


Entry 3:
# Ce2Y2ZnGa4

Ce2Y2ZnGa4 after structural relaxation (PBE-GGA, the Alexandria database).

abc: 6.5813 6.5813 6.5813
angles: 100.77 113.99 113.99
Last column: magnetic moment on the atom in μB.
Atoms (fractional coordinates):
Ce  0.0000  0.3371  0.3371  0.75
Ce  0.0000  0.6629  0.6629  0.75
Y  0.5000  0.7500  0.2500  0.07
Y  0.5000  0.2500  0.7500  0.07
Ga  0.5293  0.7646  0.7646  0.00
Ga  0.4707  0.2354  0.2354  0.00
Ga  0.0000  0.7646  0.2354  0.00
Ga  0.0000  0.2354  0.7646  0.00
Zn  0.0000  0.0000  0.0000  0.01

Results
The total magnetization is 2.054 μB per cell. Its crystal system is tetragonal. The symmetry is I4/mmm, No. 139. The total DFT energy (no corrections) comes out at -40.45 eV for the cell shown. The density of states at the Fermi level comes out at 10.67 states/eV per cell.


Entry 4:
# CeZn3Ga

CeZn3Ga after structural relaxation (PBE-GGA, the Alexandria database).

abc: 4.2541 4.2550 6.0290
angles: 69.37 69.37 90.01
Last column: magnetic moment on the atom in μB.
Atoms (fractional coordinates):
Zn  0.6530  0.9567  0.3993  -0.01
Zn  0.1530  0.4562  0.3995  -0.01
Zn  0.7827  0.5864  0.1398  0.00
Ce  0.4037  0.2072  0.8979  0.56
Ga  0.0154  0.8187  0.6746  -0.01

Results
The total magnetization is 0.570 μB per cell. Its crystal system is tetragonal. The symmetry is I4mm, No. 107. The total DFT energy (no corrections) comes out at -14.58 eV for the cell shown. The density of states at the Fermi level comes out at 6.33 states/eV per cell.


Entry 5:
# CeZn2Ga2

CeZn2Ga2 after structural relaxation (PBE-GGA, the Alexandria database).

abc: 4.2880 4.2880 6.0355
angles: 110.88 110.88 90.00
Atoms (fractional coordinates):
Ga  0.2507  0.7493  0.5000
Ga  0.7493  0.2507  0.5000
Zn  0.6156  0.6156  0.2303
Zn  0.3844  0.3844  0.7697
Ce  0.0000  0.0000  0.0000

Results
The total magnetization is 0.000 μB per cell. Its crystal system is orthorhombic. The symmetry is Fmmm, No. 69. The total DFT energy (no corrections) comes out at -16.58 eV for the cell shown. The density of states at the Fermi level comes out at 4.32 states/eV per cell.


Entry 6:
# CeZn3Ga

CeZn3Ga after structural relaxation (PBE-GGA, the Alexandria database).

abc: 4.3061 8.2176 10.8507
angles: 90.00 90.00 90.00
Last column: magnetic moment on the atom in μB.
Atoms (fractional coordinates):
Ga  0.7500  0.9081  0.3766  -0.01
Ga  0.2500  0.0919  0.6234  -0.01
Ga  0.2500  0.5919  0.8767  -0.01
Ga  0.7500  0.4081  0.1233  -0.01
Ce  0.2500  0.7020  0.4999  0.53
Ce  0.7500  0.2980  0.5001  0.53
Ce  0.7500  0.7981  0.9999  0.52
Ce  0.2500  0.2019  0.0001  0.52
Zn  0.2500  0.5912  0.1292  -0.01
Zn  0.2500  0.0911  0.3706  -0.01
Zn  0.2500  0.3881  0.3040  -0.01
Zn  0.7500  0.1119  0.8042  -0.01
Zn  0.7500  0.4088  0.8708  -0.01
Zn  0.7500  0.6073  0.3034  -0.01
Zn  0.7500  0.6119  0.6960  -0.01
Zn  0.2500  0.8928  0.8036  -0.01
Zn  0.7500  0.9089  0.6294  -0.01
Zn  0.7500  0.1072  0.1964  -0.01
Zn  0.2500  0.8881  0.1958  -0.01
Zn  0.2500  0.3927  0.6966  -0.01

Results
The total magnetization is 2.089 μB per cell. Its crystal system is orthorhombic. The symmetry is Pnma, No. 62. The total DFT energy (no corrections) comes out at -56.53 eV for the cell shown. The density of states at the Fermi level comes out at 19.53 states/eV per cell.


Entry 7:
# CeZnGa

CeZnGa after structural relaxation (PBE-GGA, the Alexandria database).

abc: 4.5338 5.7662 5.7662
angles: 83.51 66.85 66.85
Last column: magnetic moment on the atom in μB.
Atoms (fractional coordinates):
Ga  0.2071  0.7762  0.8096  0.00
Ga  0.7929  0.1904  0.2238  0.00
Zn  0.3035  0.0080  0.3849  0.00
Zn  0.6965  0.6151  0.9920  0.00
Ce  0.5000  0.1756  0.8244  0.79
Ce  0.0000  0.6142  0.3858  0.79

Results
The total magnetization is 2.149 μB per cell. Its crystal system is orthorhombic. The symmetry is Imm2, No. 44. The total DFT energy (no corrections) comes out at -23.20 eV for the cell shown. The density of states at the Fermi level comes out at 9.54 states/eV per cell.


Entry 8:
# CeZn11Ga

CeZn11Ga after structural relaxation (PBE-GGA, the Alexandria database).

abc: 5.2630 6.8521 6.8789
angles: 81.46 67.51 67.15
Last column: magnetic moment on the atom in μB.
Atoms (fractional coordinates):
Zn  0.5000  0.0000  0.5000  0.01
Zn  0.0000  0.0000  0.5000  0.01
Zn  0.0095  0.3538  0.6420  0.01
Zn  0.5027  0.7839  0.2194  0.01
Zn  0.3485  0.6462  0.6420  0.01
Zn  0.2779  0.2161  0.2194  0.01
Zn  0.7221  0.7839  0.7806  0.01
Zn  0.9905  0.6462  0.3580  0.01
Zn  0.6515  0.3538  0.3580  0.01
Zn  0.4973  0.2161  0.7806  0.01
Zn  0.0000  0.5000  0.0000  0.00
Ce  0.0000  0.0000  0.0000  0.75
Ga  0.5000  0.5000  0.0000  0.01

Results
The total magnetization is 0.956 μB per cell. Its crystal system is monoclinic. The symmetry is C2/m, No. 12. The total DFT energy (no corrections) comes out at -24.99 eV for the cell shown. The density of states at the Fermi level comes out at 8.83 states/eV per cell.


Entry 9:
# Ce3Zn3Ga8

Ce3Zn3Ga8 after structural relaxation (PBE-GGA, the Alexandria database).

abc: 4.3161 8.3772 8.3772
angles: 71.48 75.07 75.07
Last column: magnetic moment on the atom in μB.
Atoms (fractional coordinates):
Ga  0.3603  0.3580  0.9214  0.00
Ga  0.1574  0.4747  0.2105  0.00
Ga  0.8426  0.7895  0.5253  0.00
Ga  0.6397  0.0786  0.6420  0.00
Ga  0.1574  0.2105  0.4747  0.00
Ga  0.3603  0.9214  0.3580  0.00
Ga  0.8426  0.5253  0.7895  0.00
Ga  0.6397  0.6420  0.0786  0.00
Zn  0.5000  0.0000  0.0000  0.01
Zn  0.0000  0.2022  0.7978  0.00
Zn  0.0000  0.7978  0.2022  0.00
Ce  0.5000  0.5000  0.5000  0.75
Ce  0.1916  0.8084  0.8084  0.57
Ce  0.8084  0.1916  0.1916  0.57

Results
The total magnetization is 2.171 μB per cell. Its crystal system is orthorhombic. The symmetry is Immm, No. 71. The total DFT energy (no corrections) comes out at -51.72 eV for the cell shown. The density of states at the Fermi level comes out at 19.05 states/eV per cell.


Entry 10:
# CeZnGa

CeZnGa after structural relaxation (PBE-GGA, the Alexandria database).

abc: 4.5182 4.5182 7.2537
angles: 90.00 90.00 120.00
Last column: magnetic moment on the atom in μB.
Atoms (fractional coordinates):
Ga  0.6667  0.3333  0.7500  -0.02
Ga  0.3333  0.6667  0.2500  -0.02
Zn  0.6667  0.3333  0.2500  0.01
Zn  0.3333  0.6667  0.7500  0.01
Ce  0.0000  0.0000  0.5000  0.69
Ce  0.0000  0.0000  0.0000  0.69

Results
The total magnetization is 1.780 μB per cell. Its crystal system is hexagonal. The symmetry is P6_3/mmc, No. 194. The total DFT energy (no corrections) comes out at -23.17 eV for the cell shown. The density of states at the Fermi level comes out at 8.91 states/eV per cell.